Entry 1:
# La5Ni | the Alexandria database | meta-GGA SCAN | PBEsol geometry
# energy above the most stable polymorph in this dataset = 0.000 eV/atom
# formation energy = -0.05 eV/atom
data_La5Ni
_cell_length_a 12.1396
_cell_length_b 3.6193
_cell_length_c 8.5480
_cell_angle_alpha 90.00
_cell_angle_beta 108.09
_cell_angle_gamma 90.00
_symmetry_space_group_name_H-M 'C 1 m 1'
_symmetry_Int_Tables_number 8
_symmetry_space_group_name_Hall 'C -2y'
loop_
_atom_site_label
_atom_site_type_symbol
_atom_site_fract_x
_atom_site_fract_y
_atom_site_fract_z
La1 La 0.0000 0.0000 0.0000
La2 La 0.0428 0.0000 0.4133
La3 La 0.1931 0.5000 0.8017
La4 La 0.2580 0.5000 0.2517
La5 La 0.3822 0.0000 0.6377
Ni1 Ni 0.3311 0.0000 0.0476

Entry 2:
# La7Ni16 | the Alexandria database | meta-GGA SCAN | PBEsol geometry
# formation energy = -0.29 eV/atom
data_La7Ni16
_cell_length_a 7.1908
_cell_length_b 7.1908
_cell_length_c 14.2118
_cell_angle_alpha 90.00
_cell_angle_beta 90.00
_cell_angle_gamma 90.00
_symmetry_space_group_name_H-M 'I -4 2 m'
_symmetry_Int_Tables_number 121
_symmetry_space_group_name_Hall 'I -4 2'
loop_
_atom_site_label
_atom_site_type_symbol
_atom_site_fract_x
_atom_site_fract_y
_atom_site_fract_z
La1 La 0.0000 0.0000 0.0000
La2 La 0.0000 0.5000 0.2500
La3 La 0.1984 0.1984 0.3962
Ni1 Ni 0.1180 0.3689 0.0653
Ni2 Ni 0.1186 0.1186 0.1851
Ni3 Ni 0.1375 0.1375 0.6980

Entry 3:
# La2Ni3 | the Alexandria database | meta-GGA SCAN | PBEsol geometry
# formation energy = -0.29 eV/atom
data_La2Ni3
_cell_length_a 4.9331
_cell_length_b 9.5167
_cell_length_c 7.7685
_cell_angle_alpha 90.00
_cell_angle_beta 90.00
_cell_angle_gamma 90.00
_symmetry_space_group_name_H-M 'C m c e'
_symmetry_Int_Tables_number 64
_symmetry_space_group_name_Hall '-C 2ac 2'
loop_
_atom_site_label
_atom_site_type_symbol
_atom_site_fract_x
_atom_site_fract_y
_atom_site_fract_z
La1 La 0.0000 0.1537 0.0946
Ni1 Ni 0.0000 0.0000 0.5000
Ni2 Ni 0.2500 0.0918 0.7500

Entry 4:
# La4NiO8 | the Alexandria database | meta-GGA SCAN | PBEsol geometry
# raw formation energy = -40.49 eV/f.u.
data_La4NiO8
_cell_length_a 5.2611
_cell_length_b 12.5787
_cell_length_c 5.2529
_cell_angle_alpha 90.00
_cell_angle_beta 90.00
_cell_angle_gamma 90.00
_symmetry_space_group_name_H-M 'C m m m'
_symmetry_Int_Tables_number 65
_symmetry_space_group_name_Hall '-C 2 2'
loop_
_atom_site_label
_atom_site_type_symbol
_atom_site_fract_x
_atom_site_fract_y
_atom_site_fract_z
La1 La 0.0000 0.1333 0.0000
La2 La 0.0000 0.3667 0.5000
Ni1 Ni 0.0000 0.0000 0.5000
O1 O 0.0000 0.1586 0.5000
O2 O 0.0000 0.3131 0.0000
O3 O 0.2488 0.5000 0.2602

Entry 5:
# La5Re3NiO16 | the Alexandria database | meta-GGA SCAN | PBEsol geometry
# raw formation energy = -69.13 eV/f.u.
data_La5Re3NiO16
_cell_length_a 5.6062
_cell_length_b 5.6149
_cell_length_c 10.0436
_cell_angle_alpha 93.69
_cell_angle_beta 93.24
_cell_angle_gamma 90.99
_symmetry_space_group_name_H-M 'P -1'
_symmetry_Int_Tables_number 2
_symmetry_space_group_name_Hall '-P 1'
loop_
_atom_site_label
_atom_site_type_symbol
_atom_site_fract_x
_atom_site_fract_y
_atom_site_fract_z
La1 La 0.0000 0.0000 0.0000
La2 La 0.0353 0.5061 0.7052
La3 La 0.4886 0.9725 0.2988
Re1 Re 0.0000 0.0000 0.5000
Re2 Re 0.4444 0.4451 0.1074
Ni1 Ni 0.5000 0.5000 0.5000
O1 O 0.0674 0.0725 0.6863
O2 O 0.1773 0.2939 0.4683
O3 O 0.2187 0.6965 0.1346
O4 O 0.2229 0.2187 0.1781
O5 O 0.2964 0.7728 0.8640
O6 O 0.3012 0.8181 0.4983
O7 O 0.3103 0.3026 0.9314
O8 O 0.4566 0.4528 0.6963

Entry 6:
# LaSc2NiO | the Alexandria database | meta-GGA SCAN | PBEsol geometry
# raw formation energy = 6.60 eV/f.u.
data_LaSc2NiO
_cell_length_a 5.1586
_cell_length_b 5.1586
_cell_length_c 4.3198
_cell_angle_alpha 90.00
_cell_angle_beta 90.00
_cell_angle_gamma 90.00
_symmetry_space_group_name_H-M 'P 4/m m m'
_symmetry_Int_Tables_number 123
_symmetry_space_group_name_Hall '-P 4 2'
loop_
_atom_site_label
_atom_site_type_symbol
_atom_site_fract_x
_atom_site_fract_y
_atom_site_fract_z
La1 La 0.0000 0.0000 0.0000
Sc1 Sc 0.0000 0.5000 0.0000
Ni1 Ni 0.0000 0.0000 0.5000
O1 O 0.5000 0.5000 0.5000

Entry 7:
# Sr3LaNi2O8 | the Alexandria database | meta-GGA SCAN | PBEsol geometry
# raw formation energy = -35.29 eV/f.u.
data_Sr3LaNi2O8
_cell_length_a 5.3534
_cell_length_b 5.3566
_cell_length_c 12.1999
_cell_angle_alpha 90.00
_cell_angle_beta 90.00
_cell_angle_gamma 90.00
_symmetry_space_group_name_H-M 'A m m 2'
_symmetry_Int_Tables_number 38
_symmetry_space_group_name_Hall 'A 2 -2'
loop_
_atom_site_label
_atom_site_type_symbol
_atom_site_fract_x
_atom_site_fract_y
_atom_site_fract_z
Sr1 Sr 0.0000 0.0000 0.0000
Sr2 Sr 0.0000 0.0000 0.2812
Sr3 Sr 0.5000 0.0000 0.7849
La1 La 0.5000 0.0000 0.5031
Ni1 Ni 0.0000 0.0000 0.6465
Ni2 Ni 0.5000 0.0000 0.1473
O1 O 0.0000 0.0000 0.4836
O2 O 0.0000 0.0000 0.7995
O3 O 0.2554 0.2448 0.6375
O4 O 0.5000 0.0000 0.3054
O5 O 0.5000 0.0000 0.9865

Entry 8:
# SrLaTaNiO6 | the Alexandria database | meta-GGA SCAN | PBEsol geometry
# raw formation energy = -30.07 eV/f.u.
data_SrLaTaNiO6
_cell_length_a 7.8818
_cell_length_b 7.8818
_cell_length_c 7.8818
_cell_angle_alpha 90.00
_cell_angle_beta 90.00
_cell_angle_gamma 90.00
_symmetry_space_group_name_H-M 'F -4 3 m'
_symmetry_Int_Tables_number 216
_symmetry_space_group_name_Hall 'F -4 2 3'
loop_
_atom_site_label
_atom_site_type_symbol
_atom_site_fract_x
_atom_site_fract_y
_atom_site_fract_z
Sr1 Sr 0.0000 0.0000 0.0000
La1 La 0.0000 0.0000 0.5000
Ta1 Ta 0.2500 0.2500 0.2500
Ni1 Ni 0.2500 0.2500 0.7500
O1 O 0.0011 0.2500 0.2500

The calculation returns the following total energy values, one per record and in order: -38.670; -24.662; -27.239; -21.457; -24.553; -17.478; -16.244; -21.559 eV/atom.